Entry 1:
GGA-PBE ScBe2Tc2, relaxed; space-group type = P4/mbm, No. 127; E_tot = -6.88 eV per atom; crystal system = tetragonal; E above lowest polymorph = 0.324 eV/atom
1.0
7.253 0.000 0.000
0.000 7.253 0.000
0.000 0.000 2.575
Tc Sc Be
4 2 4
direct
0.874 0.626 0.000
0.126 0.374 0.000
0.374 0.874 0.000
0.626 0.126 0.000
0.500 0.500 0.000
0.000 0.000 0.000
0.831 0.331 0.500
0.669 0.831 0.500
0.331 0.169 0.500
0.169 0.669 0.500

***

Entry 2:
GGA-PBE ScBe2Tc2, relaxed; space-group type = P4/mbm, No. 127; E_tot = -7.20 eV per atom; crystal system = tetragonal; E above lowest polymorph = 0.000 eV/atom
1.0
-0.794 -4.818 -3.944
6.127 -1.312 0.369
-0.569 -1.953 2.500
Be Tc Sc
4 4 2
direct
0.615 0.115 0.000
0.885 0.615 0.000
0.115 0.385 0.000
0.385 0.885 0.000
0.828 0.328 0.500
0.172 0.672 0.500
0.672 0.828 0.500
0.328 0.172 0.500
0.000 0.000 0.000
0.500 0.500 0.000

***

Entry 3:
GGA-PBE ScBeTc2, relaxed; space-group type = Pm, No. 6; E_tot = -7.72 eV per atom; crystal system = monoclinic
1.0
-3.579 0.419 2.091
-1.308 -1.959 -1.846
0.788 -4.324 2.216
Tc Sc Be
2 1 1
direct
0.000 0.031 0.064
0.500 0.383 0.224
0.500 0.754 0.705
0.000 0.331 0.508

***

Entry 4:
GGA-PBE Sc2BeTc, relaxed; space-group type = Amm2, No. 38; E_tot = -6.81 eV per atom; crystal system = orthorhombic
1.0
-3.605 -0.716 1.515
-1.034 -1.348 -3.097
1.011 -5.245 -0.073
Sc Be Tc
2 1 1
direct
0.500 0.271 0.333
0.000 0.979 0.917
0.500 0.565 0.744
0.000 0.685 0.506

***

Entry 5:
GGA-PBE ScBeTc3, relaxed; space-group type = Pm-3m, No. 221; E_tot = -7.87 eV per atom; crystal system = cubic; E above lowest polymorph = 0.000 eV/atom
1.0
4.235 0.000 0.000
0.000 4.235 0.000
0.000 0.000 4.235
Tc Be Sc
3 1 1
direct
0.000 0.000 0.500
0.500 0.000 0.000
0.000 0.500 0.000
0.000 0.000 0.000
0.500 0.500 0.500

***

Entry 6:
GGA-PBE ScBeTc2, relaxed; space-group type = Imm2, No. 44; E_tot = -7.68 eV per atom; crystal system = orthorhombic
1.0
5.078 -0.001 0.000
2.243 4.555 0.000
-3.221 -2.984 2.551
Tc Be Sc
2 1 1
direct
0.984 0.984 0.000
0.754 0.254 0.500
0.519 0.519 0.000
0.243 0.743 0.500

***

Energy of formation from the pure elements, record by record: 0.1, -1.5, -0.1, -0.5, 1.8, 0.1 eV/f.u.
Volume, record by record: 135, 127, 60, 71, 76, 59 Å³/cell